# 1
VASP calculation (GGA-PBE) on a relaxed TbMgP crystal.

Cell: 4.2553 6.3716 10.0785 Å, 90.00 90.00 90.00°
Atoms (fractional coordinates):
Mg1 0.7500 0.0436 0.0953
P1 0.2500 0.2306 0.5868
P2 0.7500 0.7306 0.9132
P3 0.7500 0.7694 0.4132
Tb1 0.7500 0.5476 0.1619
Mg2 0.7500 0.4564 0.5953
P4 0.2500 0.2694 0.0868
Mg3 0.2500 0.5436 0.4047
Tb2 0.2500 0.0476 0.3381
Mg4 0.2500 0.9564 0.9047
Tb3 0.7500 0.9524 0.6619
Tb4 0.2500 0.4524 0.8381

formation energy	-759	meV/atom
SG	No. 62
raw total energy	-4.64	eV/atom
calculated volume	273.3	Å³/cell

***

# 2
VASP calculation (GGA-PBE) on a relaxed Tb2MgP crystal.

Cell: 3.7836 3.7836 10.1937 Å, 79.30 79.30 60.00°
Atoms (fractional coordinates):
P1 0.5000 0.5000 0.5000
Mg1 0.0000 0.0000 0.0000
Tb1 0.1126 0.1126 0.6621
Tb2 0.8874 0.8874 0.3379

formation energy	-490	meV/atom
SG	No. 166
raw total energy	-4.56	eV/atom
calculated volume	123.4	Å³/cell

***

# 3
VASP calculation (GGA-PBE) on a relaxed Tb3MgP crystal.

Cell: 5.3482 5.3482 5.3482 Å, 90.00 90.00 90.00°
Atoms (fractional coordinates):
Mg1 0.5000 0.5000 0.5000
Tb1 0.0000 0.5000 0.0000
Tb2 0.0000 0.0000 0.5000
P1 0.0000 0.0000 0.0000
Tb3 0.5000 0.0000 0.0000

formation energy	-486	meV/atom
SG	No. 221
raw total energy	-4.67	eV/atom
calculated volume	153.0	Å³/cell

***

# 4
VASP calculation (GGA-PBE) on a relaxed TbMgP2 crystal.

Cell: 4.0268 4.0268 6.4445 Å, 71.79 71.79 60.00°
Atoms (fractional coordinates):
P1 0.2437 0.2437 0.2688
P2 0.0925 0.0925 0.7225
Mg1 0.4944 0.4944 0.5170
Tb1 0.6694 0.6694 0.9918

formation energy	-869	meV/atom
excess energy over the best structure of this formula in the dataset	0	meV/atom
SG	No. 160
raw total energy	-5.13	eV/atom
calculated volume	84.4	Å³/cell

***

# 5
VASP calculation (GGA-PBE) on a relaxed TbMgP2 crystal.

Cell: 4.0074 4.0074 6.5502 Å, 72.19 72.19 60.00°
Atoms (fractional coordinates):
P1 0.2538 0.2538 0.2386
Mg1 0.0000 0.0000 0.0000
Tb1 0.5000 0.5000 0.5000
P2 0.7462 0.7462 0.7614

formation energy	-855	meV/atom
excess energy over the best structure of this formula in the dataset	14	meV/atom
SG	No. 166
raw total energy	-5.12	eV/atom
calculated volume	85.2	Å³/cell

***

# 6
VASP calculation (GGA-PBE) on a relaxed Tb2MgZrP4 crystal.

Cell: 3.9098 6.8143 6.7209 Å, 109.92 90.00 90.00°
Atoms (fractional coordinates):
P1 0.5000 0.2407 0.2354
P2 0.0000 0.2517 0.7670
Mg1 0.5000 0.5000 0.0000
Zr1 0.0000 0.0000 0.0000
P3 0.0000 0.7483 0.2330
P4 0.5000 0.7593 0.7646
Tb1 0.0000 0.5000 0.5000
Tb2 0.5000 0.0000 0.5000

formation energy	-1229	meV/atom
SG	No. 10
raw total energy	-6.36	eV/atom
calculated volume	168.4	Å³/cell

***

# 7
VASP calculation (GGA-PBE) on a relaxed MgTcP4 crystal.

Cell: 5.0014 5.0014 5.0014 Å, 60.00 60.00 60.00°
Atoms (fractional coordinates):
P1 0.3756 0.3756 0.8731
P2 0.3756 0.8731 0.3756
Tc1 0.7500 0.7500 0.7500
P3 0.3756 0.3756 0.3756
Mg1 0.0000 0.0000 0.0000
P4 0.8731 0.3756 0.3756

formation energy	577	meV/atom
SG	No. 216
raw total energy	-5.02	eV/atom
calculated volume	88.5	Å³/cell

***

# 8
VASP calculation (GGA-PBE) on a relaxed Mg2TcP2 crystal.

Cell: 6.1435 6.1435 4.1442 Å, 90.00 90.00 90.00°
Atoms (fractional coordinates):
P1 0.1308 0.3692 0.0000
P2 0.6308 0.1308 0.0000
Mg1 0.6842 0.8158 0.5000
P3 0.8692 0.6308 0.0000
Tc1 0.0000 0.0000 0.0000
Tc2 0.5000 0.5000 0.0000
P4 0.3692 0.8692 0.0000
Mg2 0.1842 0.6842 0.5000
Mg3 0.3158 0.1842 0.5000
Mg4 0.8158 0.3158 0.5000

formation energy	-477	meV/atom
SG	No. 127
raw total energy	-5.35	eV/atom
calculated volume	156.4	Å³/cell

***

# 9
VASP calculation (GGA-PBE) on a relaxed MgTc2P2 crystal.

Cell: 3.9392 5.2482 8.1629 Å, 76.15 76.04 67.96°
Atoms (fractional coordinates):
Tc1 0.2743 0.1842 0.2673
P1 0.6594 0.2186 0.4626
Tc2 0.0625 0.2593 0.6157
P2 0.9041 0.0647 0.1270
P3 0.0959 0.9353 0.8730
Mg1 0.6223 0.6307 0.1247
Tc3 0.9375 0.7407 0.3843
P4 0.3406 0.7814 0.5374
Mg2 0.3777 0.3693 0.8753
Tc4 0.7257 0.8158 0.7327

formation energy	-320	meV/atom
excess energy over the best structure of this formula in the dataset	0	meV/atom
SG	No. 12
raw total energy	-6.95	eV/atom
calculated volume	149.7	Å³/cell

***

# 10
VASP calculation (GGA-PBE) on a relaxed MgTc4P2 crystal.

Cell: 4.0149 4.0639 6.8805 Å, 107.18 90.00 90.00°
Atoms (fractional coordinates):
Tc1 0.5000 0.1792 0.3584
Tc2 0.0000 0.6906 0.3812
Tc3 0.0000 0.3094 0.6188
Tc4 0.5000 0.8208 0.6416
P1 0.5000 0.5846 0.1693
Mg1 0.0000 0.0000 0.0000
P2 0.5000 0.4154 0.8307

formation energy	-391	meV/atom
SG	No. 65
raw total energy	-8.09	eV/atom
calculated volume	107.3	Å³/cell

***

# 11
VASP calculation (GGA-PBE) on a relaxed MgTc2P2 crystal.

Cell: 6.9327 6.9327 2.9387 Å, 90.00 90.00 90.00°
Atoms (fractional coordinates):
P1 0.6439 0.1439 0.0000
P2 0.3561 0.8561 0.0000
Mg1 0.5000 0.5000 0.0000
P3 0.8561 0.6439 0.0000
P4 0.1439 0.3561 0.0000
Tc1 0.1485 0.6485 0.5000
Mg2 0.0000 0.0000 0.0000
Tc2 0.3515 0.1485 0.5000
Tc3 0.8515 0.3515 0.5000
Tc4 0.6485 0.8515 0.5000

formation energy	-311	meV/atom
excess energy over the best structure of this formula in the dataset	9	meV/atom
SG	No. 127
raw total energy	-6.94	eV/atom
calculated volume	141.2	Å³/cell

***

# 12
VASP calculation (GGA-PBE) on a relaxed Mg2Tc12P7 crystal.

Cell: 3.9658 9.4626 9.4626 Å, 120.00 90.00 90.00°
Atoms (fractional coordinates):
P1 0.5000 0.6030 0.5327
Tc1 0.0000 0.2947 0.0637
P2 0.0000 0.0664 0.8036
P3 0.5000 0.9297 0.3970
Tc2 0.5000 0.2111 0.4524
Tc3 0.0000 0.7690 0.7053
Tc4 0.0000 0.9363 0.2310
Tc5 0.0000 0.4922 0.9421
Mg1 0.0000 0.6667 0.3333
Tc6 0.5000 0.7395 0.0992
P4 0.5000 0.4673 0.0703
Tc7 0.5000 0.5476 0.7587
Mg2 0.5000 0.0000 0.0000
P5 0.0000 0.1964 0.2628
Tc8 0.5000 0.3597 0.2605
P6 0.0000 0.7372 0.9336
Tc9 0.0000 0.4499 0.5078
Tc10 0.5000 0.9008 0.6403
Tc11 0.0000 0.0579 0.5501
P7 0.0000 0.3333 0.6667
Tc12 0.5000 0.2413 0.7889

formation energy	-379	meV/atom
SG	No. 174
raw total energy	-8.26	eV/atom
calculated volume	307.5	Å³/cell

***

Q: Which formula does entry 5 have?
A: TbMgP2

***

Please write out number 10 again, unchanged.
VASP calculation (GGA-PBE) on a relaxed MgTc4P2 crystal.

Cell: 4.0149 4.0639 6.8805 Å, 107.18 90.00 90.00°
Atoms (fractional coordinates):
Tc1 0.5000 0.1792 0.3584
Tc2 0.0000 0.6906 0.3812
Tc3 0.0000 0.3094 0.6188
Tc4 0.5000 0.8208 0.6416
P1 0.5000 0.5846 0.1693
Mg1 0.0000 0.0000 0.0000
P2 0.5000 0.4154 0.8307

formation energy	-391	meV/atom
SG	No. 65
raw total energy	-8.09	eV/atom
calculated volume	107.3	Å³/cell

***

Q: What is the formula in the third record?
A: Tb3MgP